[1]
## DyEr7 (GGA-PBE)

Data for a relaxed structure of DyEr7.

Computed properties:
electronic total energy = -4.568 eV/atom
formation enthalpy at 0 K = 0.00 eV per atom

Unit cell a=7.1528 b=7.1528 c=5.5427 alpha=90.00 beta=90.00 gamma=120.00
Space group P-6m2 (No. 187)
Unique sites:
Dy1 0.0000 0.0000 0.0000 (multiplicity 1)
Er1 0.0005 0.5003 0.0000 (multiplicity 3)
Er2 0.1668 0.3336 0.5000 (multiplicity 3)
Er3 0.6667 0.3333 0.5000 (multiplicity 1)


[2]
## DyErGa2F2 (GGA-PBE)

Data for a relaxed structure of DyErGa2F2.

Computed properties:
electronic total energy = -5.029 eV/atom

Unit cell a=3.8651 b=3.8651 c=8.7361 alpha=90.00 beta=90.00 gamma=120.00
Space group P3m1 (No. 156)
Unique sites:
Dy1 0.0000 0.0000 0.0000 (multiplicity 1)
Er1 0.0000 0.0000 0.4942 (multiplicity 1)
Ga1 0.3333 0.6667 0.2951 (multiplicity 1)
Ga2 0.6667 0.3333 0.2017 (multiplicity 1)
F1 0.3333 0.6667 0.8795 (multiplicity 1)
F2 0.6667 0.3333 0.6121 (multiplicity 1)


[3]
## Dy2Er2SiF5 (GGA-PBE)

Data for a relaxed structure of Dy2Er2SiF5.

Computed properties:
electronic total energy = -5.877 eV/atom

Unit cell a=14.0568 b=3.8575 c=6.9608 alpha=90.00 beta=118.49 gamma=90.00
Space group C2/m (No. 12)
Unique sites:
Dy1 0.2235 0.0000 0.2238 (multiplicity 4)
Er1 0.9996 0.5000 0.2751 (multiplicity 4)
Si1 0.0000 0.0000 0.0000 (multiplicity 2)
F1 0.0000 0.0000 0.5000 (multiplicity 2)
F2 0.1978 0.5000 0.3909 (multiplicity 4)
F3 0.2004 0.5000 0.0130 (multiplicity 4)


[4]
## DyEr2Fe9 (GGA-PBE)

Data for a relaxed structure of DyEr2Fe9.

Computed properties:
electronic total energy = -7.467 eV/atom
formation enthalpy at 0 K = -0.09 eV per atom

Unit cell a=5.0226 b=5.0226 c=24.0015 alpha=90.00 beta=90.00 gamma=120.00
Space group R-3m (No. 166, hexagonal axes)
Unique sites:
Dy1 0.0000 0.0000 0.0000 (multiplicity 3)
Er1 0.0000 0.0000 0.1419 (multiplicity 6)
Fe1 0.0000 0.0000 0.3327 (multiplicity 6)
Fe2 0.0000 0.0000 0.5000 (multiplicity 3)
Fe3 0.9997 0.4998 0.0818 (multiplicity 18)